Entry 1:
This record from the Open Quantum Materials Database describes a geometry-optimized Rb2InPdBr6 structure. The functional is PBE.

Calculated values
Calculated total energy, eV per atom: -3.014
Symmetry: R-3, No. 148

```
data_Rb2InPdBr6
_chemical_formula_sum 'Rb2 In1 Pd1 Br6'
_symmetry_space_group_name_H-M 'P 1'
_symmetry_Int_Tables_number 1
_cell_length_a 7.660
_cell_length_b 7.660
_cell_length_c 7.660
_cell_angle_alpha 60.65
_cell_angle_beta 60.65
_cell_angle_gamma 60.65
loop_
_symmetry_equiv_pos_as_xyz
'x,y,z'
loop_
_atom_site_label
_atom_site_type_symbol
_atom_site_fract_x
_atom_site_fract_y
_atom_site_fract_z
Br1 Br 0.756 0.211 0.279
Br2 Br 0.244 0.789 0.721
Br3 Br 0.211 0.279 0.756
Br4 Br 0.279 0.756 0.211
Br5 Br 0.721 0.244 0.789
Br6 Br 0.789 0.721 0.244
Pd1 Pd 0.000 0.000 0.000
Rb1 Rb 0.752 0.752 0.752
Rb2 Rb 0.249 0.249 0.249
In1 In 0.500 0.500 0.500
```

Entry 2:
This record from the Open Quantum Materials Database describes a geometry-optimized Rb2InPdBr6 structure. The functional is PBE.

Calculated values
Calculated total energy, eV per atom: -3.014
Symmetry: Fm-3m, No. 225

```
data_Rb2InPdBr6
_chemical_formula_sum 'Rb2 In1 Pd1 Br6'
_symmetry_space_group_name_H-M 'P 1'
_symmetry_Int_Tables_number 1
_cell_length_a 7.714
_cell_length_b 7.714
_cell_length_c 7.714
_cell_angle_alpha 60.00
_cell_angle_beta 60.00
_cell_angle_gamma 60.00
loop_
_symmetry_equiv_pos_as_xyz
'x,y,z'
loop_
_atom_site_label
_atom_site_type_symbol
_atom_site_fract_x
_atom_site_fract_y
_atom_site_fract_z
Rb1 Rb 0.750 0.750 0.750
Rb2 Rb 0.250 0.250 0.250
Br1 Br 0.255 0.255 0.745
Br2 Br 0.745 0.255 0.745
Br3 Br 0.255 0.745 0.255
Br4 Br 0.745 0.255 0.255
Br5 Br 0.745 0.745 0.255
Br6 Br 0.255 0.745 0.745
In1 In 0.000 0.000 0.000
Pd1 Pd 0.500 0.500 0.500
```

Entry 3:
This record from the Open Quantum Materials Database describes a geometry-optimized PmIn3Br6 structure. The functional is PBE.

Calculated values
Calculated total energy, eV per atom: -3.451
Symmetry: P2_1/c, No. 14

```
data_PmIn3Br6
_chemical_formula_sum 'Pm2 In6 Br12'
_symmetry_space_group_name_H-M 'P 1'
_symmetry_Int_Tables_number 1
_cell_length_a 7.690
_cell_length_b 8.707
_cell_length_c 13.213
_cell_angle_alpha 90.00
_cell_angle_beta 121.53
_cell_angle_gamma 90.00
loop_
_symmetry_equiv_pos_as_xyz
'x,y,z'
loop_
_atom_site_label
_atom_site_type_symbol
_atom_site_fract_x
_atom_site_fract_y
_atom_site_fract_z
Br1 Br 0.751 0.227 0.913
Br2 Br 0.249 0.727 0.587
Br3 Br 0.091 0.072 0.736
Br4 Br 0.356 0.165 0.541
Br5 Br 0.644 0.665 0.959
Br6 Br 0.909 0.928 0.264
Br7 Br 0.356 0.335 0.041
Br8 Br 0.909 0.572 0.764
Br9 Br 0.091 0.428 0.236
Br10 Br 0.249 0.773 0.087
Br11 Br 0.751 0.273 0.413
Br12 Br 0.644 0.835 0.459
In1 In 0.304 0.420 0.778
In2 In 0.696 0.920 0.722
In3 In 0.304 0.080 0.278
In4 In 0.500 0.500 0.500
In5 In 0.500 0.000 0.000
In6 In 0.696 0.580 0.222
Pm1 Pm 0.000 0.500 0.000
Pm2 Pm 0.000 0.000 0.500
```

Entry 4:
This record from the Open Quantum Materials Database describes a geometry-optimized PrSmIn2Br2 structure. The functional is PBE.

Calculated values
Calculated total energy, eV per atom: -4.103
Symmetry: P3m1, No. 156

```
data_PrSmIn2Br2
_chemical_formula_sum 'Pr1 Sm1 In2 Br2'
_symmetry_space_group_name_H-M 'P 1'
_symmetry_Int_Tables_number 1
_cell_length_a 4.525
_cell_length_b 4.525
_cell_length_c 10.990
_cell_angle_alpha 90.00
_cell_angle_beta 90.00
_cell_angle_gamma 120.00
loop_
_symmetry_equiv_pos_as_xyz
'x,y,z'
loop_
_atom_site_label
_atom_site_type_symbol
_atom_site_fract_x
_atom_site_fract_y
_atom_site_fract_z
In1 In 0.333 0.667 0.548
In2 In 0.667 0.333 0.459
Sm1 Sm 0.000 0.000 0.705
Pr1 Pr 0.000 0.000 0.295
Br1 Br 0.667 0.333 0.853
Br2 Br 0.333 0.667 0.140
```